Record 1
Computed, not measured: La2YTl after structural relaxation at the PBE level of DFT.

Cell lengths 4.955, 4.955, 10.265 Å; angles 90.00, 90.00, 90.00 degrees
Space group I-4m2 (No. 119)
Symmetry-distinct sites (fractional):
La 0.000 0.000 0.000
La 0.000 0.500 0.250
Y 0.000 0.000 0.500
Tl 0.000 0.500 0.750

Output
Fermi-level density of states ... 1.563 states/eV per atom
DFT total energy ... -4.853 eV per atom


Record 2
Computed, not measured: AcGdSnPd after structural relaxation at the PBE level of DFT.

Cell lengths 7.686, 7.686, 7.686 Å; angles 90.00, 90.00, 90.00 degrees
Space group F-43m (No. 216)
Symmetry-distinct sites (fractional):
Ac 0.000 0.000 0.000
Gd 0.000 0.000 0.500
Sn 0.250 0.250 0.750
Pd 0.250 0.250 0.250

Output
Fermi-level density of states ... 1.013 states/eV per atom
DFT total energy ... -7.488 eV per atom


Record 3
Computed, not measured: LiZnSi2Te6 after structural relaxation at the PBE level of DFT.

Cell lengths 13.926, 13.419, 7.108 Å; angles 90.00, 108.72, 90.00 degrees
Space group C2/c (No. 15)
Symmetry-distinct sites (fractional):
Li 0.000 0.129 0.250
Zn 0.000 0.223 0.750
Si 0.199 0.423 0.219
Te 0.109 0.061 0.660
Te 0.121 0.428 0.500
Te 0.138 0.248 0.097

Output
Uncorrected formation energy ... -154 meV/atom
Fermi-level density of states ... 0.598 states/eV per atom


Record 4
Computed, not measured: Mg10Cd3Hg3 after structural relaxation at the PBE level of DFT.

Cell lengths 8.3996, 8.3996, 5.8443 Å; angles 90.00, 90.00, 120.00 degrees
Space group P-62m (No. 189)
Symmetry-distinct sites (fractional):
Mg 0.0000 0.2511 0.0000
Mg 0.0000 0.7536 0.5000
Mg 0.3333 0.6667 0.2483
Cd 0.0000 0.3934 0.5000
Hg 0.0000 0.6100 0.0000

Output
Fermi-level density of states ... 0.241 states/eV per atom
DFT total energy ... -1.362 eV per atom